Entry 1:
A plane-wave DFT calculation with PBE-GGA was carried out for a relaxed structure of Sm3Si3Pd2. Values from VASP.

Summary:
As for the volume: 20.630 A^3/atom. As for the total energy: -96.0 eV per cell.

Quantum ESPRESSO input file:
```
&SYSTEM
  ibrav = 0, nat = 16, ntyp = 3
/
ATOMIC_SPECIES
Sm 150.36 Sm.upf
Si 28.09 Si.upf
Pd 106.42 Pd.upf
ATOMIC_POSITIONS crystal
Sm 0.089 0.911 0.611
Sm 0.089 0.911 0.889
Sm 0.368 0.632 0.750
Sm 0.632 0.368 0.250
Sm 0.911 0.089 0.111
Sm 0.911 0.089 0.389
Si 0.334 0.666 0.250
Si 0.395 0.605 0.539
Si 0.395 0.605 0.961
Si 0.605 0.395 0.039
Si 0.605 0.395 0.461
Si 0.666 0.334 0.750
Pd 0.204 0.796 0.093
Pd 0.204 0.796 0.407
Pd 0.796 0.204 0.593
Pd 0.796 0.204 0.907
CELL_PARAMETERS angstrom
2.159 -5.300 0.000
2.159 5.300 0.000
0.000 0.000 14.420
```

***

Entry 2:
A plane-wave DFT calculation with PBE-GGA was carried out for a relaxed structure of ScAgOs2O7. Values from VASP.

Summary:
As for the volume: 14.196 A^3/atom. As for the total energy: -79.6 eV per cell.

Quantum ESPRESSO input file:
```
&SYSTEM
  ibrav = 0, nat = 11, ntyp = 4
/
ATOMIC_SPECIES
Sc 44.96 Sc.upf
Ag 107.87 Ag.upf
Os 190.23 Os.upf
O 16.00 O.upf
ATOMIC_POSITIONS crystal
Sc 0.000 0.000 0.000
Ag 0.617 0.383 0.000
Os 0.055 0.435 0.607
Os 0.565 0.945 0.393
O 0.226 0.302 0.832
O 0.303 0.037 0.253
O 0.345 0.655 0.500
O 0.698 0.774 0.168
O 0.753 0.127 0.717
O 0.873 0.247 0.283
O 0.963 0.697 0.747
CELL_PARAMETERS angstrom
3.287 -4.666 0.000
3.287 4.666 0.000
-0.867 0.000 5.091
```

***

Entry 3:
A plane-wave DFT calculation with PBE-GGA was carried out for a relaxed structure of TaFeP. Values from VASP.

Summary:
As for the volume: 13.490 A^3/atom. As for the total energy: -54.1 eV per cell.

Quantum ESPRESSO input file:
```
&SYSTEM
  ibrav = 0, nat = 6, ntyp = 3
/
ATOMIC_SPECIES
Ta 180.95 Ta.upf
Fe 55.84 Fe.upf
P 30.97 P.upf
ATOMIC_POSITIONS crystal
Ta 0.000 0.000 0.000
Ta 0.000 0.000 0.500
Fe 0.333 0.667 0.250
Fe 0.667 0.333 0.750
P 0.333 0.667 0.750
P 0.667 0.333 0.250
CELL_PARAMETERS angstrom
3.690 0.000 0.000
-1.845 3.195 0.000
0.000 0.000 6.865
```

***

Entry 4:
A plane-wave DFT calculation with PBE-GGA was carried out for a relaxed structure of TbEr2AgHg3Au2. Values from VASP.

Summary:
Its energy of formation is -55.8 kJ/mol of atoms. As for the volume: 22.679 A^3/atom. As for the total energy: -29.2 eV per cell.

Quantum ESPRESSO input file:
```
&SYSTEM
  ibrav = 0, nat = 9, ntyp = 5
/
ATOMIC_SPECIES
Tb 158.93 Tb.upf
Er 167.26 Er.upf
Ag 107.87 Ag.upf
Hg 200.59 Hg.upf
Au 196.97 Au.upf
ATOMIC_POSITIONS crystal
Tb 0.000 0.000 0.000
Er 0.000 0.402 0.805
Er 0.000 0.805 0.402
Ag 0.000 0.403 0.403
Hg 0.500 0.131 0.402
Hg 0.500 0.402 0.131
Hg 0.500 0.673 0.673
Au 0.500 0.069 0.733
Au 0.500 0.733 0.069
CELL_PARAMETERS angstrom
3.726 0.000 0.000
0.000 6.898 3.971
0.000 -6.898 3.971
```

***

Entry 5:
A plane-wave DFT calculation with PBE-GGA was carried out for a relaxed structure of Sr2Zn2As3. Values from VASP.

Summary:
As for the volume: 24.345 A^3/atom. As for the total energy: -50.8 eV per cell.

Quantum ESPRESSO input file:
```
&SYSTEM
  ibrav = 0, nat = 14, ntyp = 3
/
ATOMIC_SPECIES
Sr 87.62 Sr.upf
Zn 65.41 Zn.upf
As 74.92 As.upf
ATOMIC_POSITIONS crystal
Sr 0.106 0.106 0.450
Sr 0.233 0.233 0.837
Sr 0.767 0.767 0.163
Sr 0.894 0.894 0.550
Zn 0.089 0.089 0.151
Zn 0.461 0.461 0.187
Zn 0.539 0.539 0.813
Zn 0.911 0.911 0.849
As 0.110 0.110 0.958
As 0.348 0.348 0.703
As 0.424 0.424 0.375
As 0.576 0.576 0.625
As 0.652 0.652 0.297
As 0.890 0.890 0.042
CELL_PARAMETERS angstrom
8.164 -2.152 0.000
8.164 2.152 0.000
-7.144 0.000 9.700
```

***

Entry 6:
A plane-wave DFT calculation with PBE-GGA was carried out for a relaxed structure of Ho3CoTe5. Values from VASP.

Summary:
The value obtained for the offset from the most stable computed form is 8.22 kJ/mol of atoms. As for the volume: 26.013 A^3/atom. As for the total energy: -43.2 eV per cell.

Quantum ESPRESSO input file:
```
&SYSTEM
  ibrav = 0, nat = 9, ntyp = 3
/
ATOMIC_SPECIES
Ho 164.93 Ho.upf
Co 58.93 Co.upf
Te 127.60 Te.upf
ATOMIC_POSITIONS crystal
Ho 0.000 0.646 0.000
Ho 0.354 0.354 0.000
Ho 0.646 0.000 0.000
Co 0.000 0.000 0.000
Te 0.000 0.224 0.500
Te 0.224 0.000 0.500
Te 0.333 0.667 0.500
Te 0.667 0.333 0.500
Te 0.776 0.776 0.500
CELL_PARAMETERS angstrom
8.543 0.000 0.000
-4.271 7.398 0.000
0.000 0.000 3.704
```

***

Entry 7:
A plane-wave DFT calculation with PBE-GGA was carried out for a relaxed structure of LaTmSbI2. Values from VASP.

Summary:
As for the volume: 38.655 A^3/atom. As for the total energy: -23.1 eV per cell.

Quantum ESPRESSO input file:
```
&SYSTEM
  ibrav = 0, nat = 5, ntyp = 4
/
ATOMIC_SPECIES
La 138.91 La.upf
Tm 168.93 Tm.upf
Sb 121.76 Sb.upf
I 126.90 I.upf
ATOMIC_POSITIONS crystal
La 0.000 0.000 0.000
Tm 0.333 0.667 0.303
Sb 0.667 0.333 0.166
I 0.000 0.000 0.468
I 0.333 0.667 0.817
CELL_PARAMETERS angstrom
4.420 0.000 0.000
-2.210 3.828 0.000
0.000 0.000 11.423
```

***

Entry 8:
A plane-wave DFT calculation with PBE-GGA was carried out for a relaxed structure of TbPr2Ge3PdPt2. Values from VASP.

Summary:
As for the volume: 21.000 A^3/atom. As for the total energy: -53.9 eV per cell.

Quantum ESPRESSO input file:
```
&SYSTEM
  ibrav = 0, nat = 9, ntyp = 5
/
ATOMIC_SPECIES
Tb 158.93 Tb.upf
Pr 140.91 Pr.upf
Ge 72.64 Ge.upf
Pd 106.42 Pd.upf
Pt 195.08 Pt.upf
ATOMIC_POSITIONS crystal
Tb 0.000 0.000 0.000
Pr 0.000 0.407 0.817
Pr 0.000 0.817 0.407
Ge 0.500 0.156 0.402
Ge 0.500 0.402 0.156
Ge 0.500 0.659 0.659
Pd 0.000 0.399 0.399
Pt 0.500 0.070 0.750
Pt 0.500 0.750 0.070
CELL_PARAMETERS angstrom
4.015 0.000 0.000
0.000 6.370 3.695
0.000 -6.370 3.695
```

***

Entry 9:
A plane-wave DFT calculation with PBE-GGA was carried out for a relaxed structure of Hf2Sc4In3C3. Values from VASP.

Summary:
As for the volume: 18.348 A^3/atom. As for the total energy: -176.8 eV per cell.

Quantum ESPRESSO input file:
```
&SYSTEM
  ibrav = 0, nat = 24, ntyp = 4
/
ATOMIC_SPECIES
Hf 178.49 Hf.upf
Sc 44.96 Sc.upf
In 114.82 In.upf
C 12.01 C.upf
ATOMIC_POSITIONS crystal
Hf 0.026 0.854 0.578
Hf 0.146 0.974 0.922
Hf 0.854 0.026 0.078
Hf 0.974 0.146 0.422
Sc 0.194 0.366 0.082
Sc 0.311 0.467 0.418
Sc 0.366 0.194 0.582
Sc 0.467 0.311 0.918
Sc 0.533 0.689 0.082
Sc 0.634 0.806 0.418
Sc 0.689 0.533 0.582
Sc 0.806 0.634 0.918
In 0.082 0.240 0.749
In 0.240 0.082 0.249
In 0.405 0.595 0.750
In 0.595 0.405 0.250
In 0.760 0.918 0.751
In 0.918 0.760 0.251
C 0.000 0.500 0.500
C 0.160 0.681 0.000
C 0.319 0.840 0.500
C 0.500 0.000 0.000
C 0.681 0.160 0.500
C 0.840 0.319 0.000
CELL_PARAMETERS angstrom
5.006 -2.894 0.000
5.006 2.894 0.000
-3.366 0.000 15.198
```

***

Entry 10:
A plane-wave DFT calculation with PBE-GGA was carried out for a relaxed structure of Lu4Ta2Ge3N3. Values from VASP.

Summary:
As for the volume: 16.028 A^3/atom. As for the total energy: -186.7 eV per cell.

Quantum ESPRESSO input file:
```
&SYSTEM
  ibrav = 0, nat = 24, ntyp = 4
/
ATOMIC_SPECIES
Lu 174.97 Lu.upf
Ta 180.95 Ta.upf
Ge 72.64 Ge.upf
N 14.01 N.upf
ATOMIC_POSITIONS crystal
Lu 0.036 0.196 0.098
Lu 0.131 0.300 0.402
Lu 0.196 0.036 0.598
Lu 0.300 0.131 0.902
Lu 0.700 0.869 0.098
Lu 0.804 0.964 0.402
Lu 0.869 0.700 0.598
Lu 0.964 0.804 0.902
Ta 0.359 0.527 0.081
Ta 0.473 0.641 0.419
Ta 0.527 0.359 0.581
Ta 0.641 0.473 0.919
Ge 0.139 0.861 0.250
Ge 0.306 0.419 0.751
Ge 0.419 0.306 0.251
Ge 0.581 0.694 0.749
Ge 0.694 0.581 0.249
Ge 0.861 0.139 0.750
N 0.000 0.500 0.000
N 0.169 0.666 0.500
N 0.334 0.831 0.000
N 0.500 0.000 0.500
N 0.666 0.169 0.000
N 0.831 0.334 0.500
CELL_PARAMETERS angstrom
4.954 -2.876 0.000
4.954 2.876 0.000
-3.292 0.000 13.502
```

***

Entry 11:
A plane-wave DFT calculation with PBE-GGA was carried out for a relaxed structure of Nd2YAg4Sn4. Values from VASP.

Summary:
As for the volume: 24.157 A^3/atom. As for the total energy: -49.2 eV per cell.

Quantum ESPRESSO input file:
```
&SYSTEM
  ibrav = 0, nat = 11, ntyp = 4
/
ATOMIC_SPECIES
Nd 144.24 Nd.upf
Y 88.91 Y.upf
Ag 107.87 Ag.upf
Sn 118.71 Sn.upf
ATOMIC_POSITIONS crystal
Nd 0.129 0.129 0.000
Nd 0.871 0.871 0.000
Y 0.500 0.000 0.500
Ag 0.134 0.330 0.804
Ag 0.475 0.670 0.804
Ag 0.525 0.330 0.196
Ag 0.866 0.670 0.196
Sn 0.199 0.500 0.699
Sn 0.286 0.786 0.500
Sn 0.714 0.214 0.500
Sn 0.801 0.500 0.301
CELL_PARAMETERS angstrom
-2.335 3.668 7.758
2.335 -3.668 7.758
2.335 3.668 -7.758
```

***

Entry 12:
A plane-wave DFT calculation with PBE-GGA was carried out for a relaxed structure of DyTm3B2Pb2. Values from VASP.

Summary:
As for the volume: 23.885 A^3/atom. As for the total energy: -40.6 eV per cell.

Quantum ESPRESSO input file:
```
&SYSTEM
  ibrav = 0, nat = 8, ntyp = 4
/
ATOMIC_SPECIES
Dy 162.50 Dy.upf
Tm 168.93 Tm.upf
B 10.81 B.upf
Pb 207.20 Pb.upf
ATOMIC_POSITIONS crystal
Dy 0.000 0.000 0.000
Tm 0.000 0.000 0.324
Tm 0.333 0.667 0.499
Tm 0.333 0.667 0.821
B 0.667 0.333 0.411
B 0.667 0.333 0.909
Pb 0.000 0.000 0.660
Pb 0.333 0.667 0.163
CELL_PARAMETERS angstrom
3.655 0.000 0.000
-1.828 3.166 0.000
0.000 0.000 16.514
```